Record 1
TmCdPt: relaxed, PBE.

POSCAR file:
```
TmCdPt
1.0
-4.271 -1.880 -1.822
4.365 -1.132 -2.181
0.540 -4.577 3.456
Cd Pt Tm
2 2 2
Direct
0.000 0.500 0.500
0.000 0.500 0.000
0.333 0.167 0.750
0.667 0.833 0.250
0.333 0.167 0.250
0.667 0.833 0.750
```

## Properties
N(E_F) in states/eV/atom: 0.484
Total energy in eV/atom: -4.67
SG: P6_3/mmc (194)
Total moment in μB/cell: 0.00
Formation energy from the elements in eV/f.u.: -2.592

***

Record 2
Mg3ScPa3N8: relaxed, PBE.

POSCAR file:
```
Mg3ScPa3N8
1.0
-2.828 -5.195 -3.491
4.529 -1.287 5.002
-5.895 2.379 1.234
Pa Mg N Sc
3 3 8 1
Direct
0.000 0.500 0.500
0.500 0.000 0.500
0.500 0.500 0.500
0.500 0.500 0.000
0.000 0.500 0.000
0.000 0.000 0.000
0.745 0.980 0.716
0.236 0.471 0.716
0.764 0.020 0.284
0.751 0.501 0.752
0.255 0.020 0.284
0.764 0.529 0.284
0.249 0.499 0.248
0.236 0.980 0.716
0.000 0.000 0.500
```

## Properties
Total energy in eV/atom: -8.33
SG: R-3m (166)
Total moment in μB/cell: 0.00
Formation energy without anion corrections in eV per atom: -1.2520

***

Record 3
TlCoTeI2: relaxed, PBE.

POSCAR file:
```
TlCoTeI2
1.0
5.645 0.000 0.000
0.000 5.645 0.000
0.000 0.000 4.926
Tl Co I Te
1 1 2 1
Direct
0.500 0.500 0.500
0.000 0.000 0.000
0.000 0.500 0.000
0.500 0.000 0.000
0.000 0.000 0.500
```

## Properties
N(E_F) in states/eV/atom: 1.122
Total energy in eV/atom: -3.13
SG: P4/mmm (123)
Total moment in μB/cell: 1.53
Polymorph energy (0 for the lowest one) in eV per atom: 0.000
Formation energy without anion corrections in eV per atom: 0.0082